ZrTc2Ag after structural relaxation, computed with PBE.

```
ZrTc2Ag
1.0
-4.212 -2.422 -2.480
4.533 -2.919 0.829
-0.847 -1.720 1.980
Ag Tc Zr
1 2 1
Direct
0.000 0.500 0.500 Ag
0.000 0.000 0.000 Tc
0.500 0.500 0.000 Tc
0.500 0.000 0.500 Zr
```

Calculated values
Energy of formation from the pure elements, eV per formula unit: 0.96
Density of states at the Fermi level, states/eV per cell: 3.6
Space group: C2/m
E_tot, eV per atom: -7.792
ΔE to the lowest computed polymorph, meV/atom: 180
Calculated volume, Å³ per atom: 16.81
Spin magnetization, μB per atom: 0.0000

ZrTcAg2 after structural relaxation, computed with PBE.

```
ZrTcAg2
1.0
-1.928 -3.254 2.747
-3.953 -2.123 -1.312
0.076 -4.493 -1.291
Zr Tc Ag
1 1 2
Direct
0.000 0.000 0.000 Zr
0.500 0.500 0.500 Tc
0.250 0.250 0.250 Ag
0.750 0.750 0.750 Ag
```

Calculated values
Energy of formation from the pure elements, eV per formula unit: 1.63
Density of states at the Fermi level, states/eV per cell: 3.1
Space group: Fm-3m
E_tot, eV per atom: -5.746
ΔE to the lowest computed polymorph, meV/atom: 306
Calculated volume, Å³ per atom: 18.06
Spin magnetization, μB per atom: 0.0979

ZrTc2Ag2 after structural relaxation, computed with PBE.

```
ZrTc2Ag2
1.0
8.092 0.000 0.000
0.000 8.092 0.000
0.000 0.000 2.691
Zr Tc Ag
2 4 4
Direct
0.000 0.000 0.000 Zr
0.500 0.500 0.000 Zr
0.178 0.678 0.500 Tc
0.678 0.822 0.500 Tc
0.822 0.322 0.500 Tc
0.322 0.178 0.500 Tc
0.380 0.880 0.000 Ag
0.880 0.620 0.000 Ag
0.620 0.120 0.000 Ag
0.120 0.380 0.000 Ag
```

Calculated values
Energy of formation from the pure elements, eV per formula unit: 2.96
Density of states at the Fermi level, states/eV per cell: 10.7
Space group: P4/mbm
E_tot, eV per atom: -6.404
ΔE to the lowest computed polymorph, meV/atom: 217
Calculated volume, Å³ per atom: 17.62
Spin magnetization, μB per atom: 0.0000

ZrTc2Ag after structural relaxation, computed with PBE.

```
ZrTc2Ag
1.0
-2.960 -2.969 3.003
0.461 -5.051 -0.937
3.325 3.849 0.853
Ag Tc Zr
1 2 1
Direct
0.750 0.250 0.500 Ag
0.000 0.000 0.000 Tc
0.500 0.500 0.000 Tc
0.250 0.750 0.500 Zr
```

Calculated values
Energy of formation from the pure elements, eV per formula unit: 1.23
Density of states at the Fermi level, states/eV per cell: 5.1
Space group: I4/mmm
E_tot, eV per atom: -7.726
ΔE to the lowest computed polymorph, meV/atom: 246
Calculated volume, Å³ per atom: 17.06
Spin magnetization, μB per atom: 0.0000

Zr4TcAg after structural relaxation, computed with PBE.

```
Zr4TcAg
1.0
3.298 -0.001 0.000
0.001 3.298 0.000
0.000 0.000 11.335
Zr Tc Ag
4 1 1
Direct
0.500 0.500 0.858 Zr
0.500 0.500 0.142 Zr
0.000 0.000 0.673 Zr
0.000 0.000 0.327 Zr
0.000 0.000 0.000 Tc
0.500 0.500 0.500 Ag
```

Calculated values
Energy of formation from the pure elements, eV per formula unit: -1.02
Density of states at the Fermi level, states/eV per cell: 7.1
Space group: P4/mmm
E_tot, eV per atom: -8.072
ΔE to the lowest computed polymorph, meV/atom: 0
Calculated volume, Å³ per atom: 20.55
Spin magnetization, μB per atom: 0.0000

ZrTcAg after structural relaxation, computed with PBE.

```
ZrTcAg
1.0
-0.891 3.141 4.732
2.536 -2.689 2.262
7.374 3.094 -4.587
Zr Tc Ag
4 4 4
Direct
0.739 0.000 0.443 Zr
0.739 0.500 0.943 Zr
0.332 0.000 0.731 Zr
0.332 0.500 0.231 Zr
0.207 0.000 0.407 Tc
0.207 0.500 0.907 Tc
0.050 0.000 0.104 Tc
0.050 0.500 0.604 Tc
0.862 0.000 0.770 Ag
0.862 0.500 0.270 Ag
0.536 0.000 0.085 Ag
0.536 0.500 0.585 Ag
```

Calculated values
Energy of formation from the pure elements, eV per formula unit: 0.13
Density of states at the Fermi level, states/eV per cell: 10.5
Space group: Cm
E_tot, eV per atom: -7.213
ΔE to the lowest computed polymorph, meV/atom: 16
Calculated volume, Å³ per atom: 17.93
Spin magnetization, μB per atom: 0.0000

ZrTcAg2 after structural relaxation, computed with PBE.

```
ZrTcAg2
1.0
-0.165 2.427 1.327
0.777 -1.236 2.356
8.829 1.704 -2.017
Ag Tc Zr
2 1 1
Direct
0.000 0.000 0.012 Ag
0.000 0.000 0.488 Ag
0.500 0.500 0.250 Tc
0.500 0.500 0.750 Zr
```

Calculated values
Energy of formation from the pure elements, eV per formula unit: 1.51
Density of states at the Fermi level, states/eV per cell: 3.9
Space group: P4/mmm
E_tot, eV per atom: -5.776
ΔE to the lowest computed polymorph, meV/atom: 276
Calculated volume, Å³ per atom: 17.69
Spin magnetization, μB per atom: 0.0000

ZrTc2Ag after structural relaxation, computed with PBE.

```
ZrTc2Ag
1.0
3.041 0.000 0.000
0.000 3.041 0.000
0.000 0.000 7.548
Ag Tc Zr
1 2 1
Direct
0.500 0.500 0.768 Ag
0.000 0.000 0.033 Tc
0.500 0.500 0.217 Tc
0.000 0.000 0.482 Zr
```

Calculated values
Energy of formation from the pure elements, eV per formula unit: 0.24
Density of states at the Fermi level, states/eV per cell: 3.7
Space group: P4mm
E_tot, eV per atom: -7.972
ΔE to the lowest computed polymorph, meV/atom: 0
Calculated volume, Å³ per atom: 17.45
Spin magnetization, μB per atom: 0.0000

ZrTcAg after structural relaxation, computed with PBE.

```
ZrTcAg
1.0
4.658 0.000 0.000
-2.329 4.034 0.000
0.000 0.000 5.824
Zr Tc Ag
2 2 2
Direct
0.333 0.667 0.421 Zr
0.667 0.333 0.667 Zr
0.333 0.667 0.874 Tc
0.000 0.000 0.833 Tc
0.667 0.333 0.148 Ag
0.000 0.000 0.331 Ag
```

Calculated values
Energy of formation from the pure elements, eV per formula unit: 0.32
Density of states at the Fermi level, states/eV per cell: 3.5
Space group: P3m1
E_tot, eV per atom: -7.149
ΔE to the lowest computed polymorph, meV/atom: 81
Calculated volume, Å³ per atom: 18.24
Spin magnetization, μB per atom: 0.0000

ZrTcAg2 after structural relaxation, computed with PBE.

```
ZrTcAg2
1.0
-2.866 1.741 9.623
-2.077 -0.996 9.927
-0.124 1.089 10.131
Ag Tc Zr
2 1 1
Direct
0.996 0.996 0.996 Ag
0.504 0.504 0.504 Ag
0.250 0.250 0.250 Tc
0.750 0.750 0.750 Zr
```

Calculated values
Energy of formation from the pure elements, eV per formula unit: 1.61
Density of states at the Fermi level, states/eV per cell: 3.7
Space group: R-3m
E_tot, eV per atom: -5.752
ΔE to the lowest computed polymorph, meV/atom: 300
Calculated volume, Å³ per atom: 17.86
Spin magnetization, μB per atom: 0.1741

ZrTc2Ag after structural relaxation, computed with PBE.

```
ZrTc2Ag
1.0
-2.008 1.422 -4.791
-0.363 -3.821 -3.778
-1.515 1.382 4.981
Ag Tc Zr
1 2 1
Direct
0.250 0.750 0.500 Ag
0.990 0.990 0.000 Tc
0.510 0.510 0.000 Tc
0.750 0.250 0.500 Zr
```

Calculated values
Energy of formation from the pure elements, eV per formula unit: 1.14
Density of states at the Fermi level, states/eV per cell: 4.7
Space group: Immm
E_tot, eV per atom: -7.747
ΔE to the lowest computed polymorph, meV/atom: 225
Calculated volume, Å³ per atom: 17.14
Spin magnetization, μB per atom: 0.0000

ZrTcAg2 after structural relaxation, computed with PBE.

```
ZrTcAg2
1.0
2.787 0.000 0.000
0.000 4.578 0.000
0.000 0.000 5.534
Ag Tc Zr
2 1 1
Direct
0.000 0.000 0.008 Ag
0.000 0.000 0.492 Ag
0.500 0.500 0.250 Tc
0.500 0.500 0.750 Zr
```

Calculated values
Energy of formation from the pure elements, eV per formula unit: 0.98
Density of states at the Fermi level, states/eV per cell: 4.9
Space group: Pmmm
E_tot, eV per atom: -5.909
ΔE to the lowest computed polymorph, meV/atom: 143
Calculated volume, Å³ per atom: 17.65
Spin magnetization, μB per atom: 0.0001

ZrTc2Ag after structural relaxation, computed with PBE.

```
ZrTc2Ag
1.0
-1.934 -3.917 -1.708
-0.301 -0.968 2.559
-4.812 1.970 0.930
Ag Tc Zr
1 2 1
Direct
0.500 0.750 0.750 Ag
0.000 0.997 0.003 Tc
0.000 0.503 0.497 Tc
0.500 0.250 0.250 Zr
```

Calculated values
Energy of formation from the pure elements, eV per formula unit: 1.08
Density of states at the Fermi level, states/eV per cell: 3.7
Space group: P2/m
E_tot, eV per atom: -7.764
ΔE to the lowest computed polymorph, meV/atom: 208
Calculated volume, Å³ per atom: 16.90
Spin magnetization, μB per atom: 0.0000

ZrTcAg2 after structural relaxation, computed with PBE.

```
ZrTcAg2
1.0
10.050 -0.019 -0.011
9.639 2.846 -0.011
9.639 1.384 2.486
Ag Tc Zr
2 1 1
Direct
0.997 0.997 0.997 Ag
0.248 0.248 0.248 Ag
0.502 0.502 0.502 Tc
0.752 0.752 0.752 Zr
```

Calculated values
Energy of formation from the pure elements, eV per formula unit: 1.18
Density of states at the Fermi level, states/eV per cell: 5.0
Space group: R3m
E_tot, eV per atom: -5.858
ΔE to the lowest computed polymorph, meV/atom: 194
Calculated volume, Å³ per atom: 17.97
Spin magnetization, μB per atom: 0.0004

ZrTcAg2 after structural relaxation, computed with PBE.

```
ZrTcAg2
1.0
-3.525 -1.717 0.410
0.480 -0.050 3.913
-1.953 4.078 0.291
Ag Tc Zr
2 1 1
Direct
0.000 0.000 0.000 Ag
0.500 0.500 0.000 Ag
0.500 0.000 0.500 Tc
0.000 0.500 0.500 Zr
```

Calculated values
Energy of formation from the pure elements, eV per formula unit: 0.41
Density of states at the Fermi level, states/eV per cell: 4.5
Space group: P4/mmm
E_tot, eV per atom: -6.051
ΔE to the lowest computed polymorph, meV/atom: 1
Calculated volume, Å³ per atom: 17.61
Spin magnetization, μB per atom: 0.1286

ZrTcAg2 after structural relaxation, computed with PBE.

```
ZrTcAg2
1.0
3.654 0.000 0.000
0.000 3.654 0.000
0.000 0.000 5.454
Ag Tc Zr
2 1 1
Direct
0.000 0.000 0.006 Ag
0.000 0.000 0.494 Ag
0.500 0.500 0.250 Tc
0.500 0.500 0.750 Zr
```

Calculated values
Energy of formation from the pure elements, eV per formula unit: 1.35
Density of states at the Fermi level, states/eV per cell: 2.7
Space group: P4/mmm
E_tot, eV per atom: -5.818
ΔE to the lowest computed polymorph, meV/atom: 234
Calculated volume, Å³ per atom: 18.20
Spin magnetization, μB per atom: 0.0001

ZrTc2Ag after structural relaxation, computed with PBE.

```
ZrTc2Ag
1.0
9.928 0.019 0.011
9.516 2.830 0.011
9.516 1.395 2.463
Ag Tc Zr
1 2 1
Direct
0.745 0.745 0.745 Ag
0.994 0.994 0.994 Tc
0.258 0.258 0.258 Tc
0.503 0.503 0.503 Zr
```

Calculated values
Energy of formation from the pure elements, eV per formula unit: 0.74
Density of states at the Fermi level, states/eV per cell: 1.5
Space group: R3m
E_tot, eV per atom: -7.848
ΔE to the lowest computed polymorph, meV/atom: 124
Calculated volume, Å³ per atom: 17.11
Spin magnetization, μB per atom: 0.0000

ZrTc2Ag after structural relaxation, computed with PBE.

```
ZrTc2Ag
1.0
10.027 -0.015 -0.009
9.633 2.784 -0.009
9.633 1.357 2.431
Ag Tc Zr
1 2 1
Direct
0.750 0.750 0.750 Ag
0.002 0.002 0.002 Tc
0.498 0.498 0.498 Tc
0.250 0.250 0.250 Zr
```

Calculated values
Energy of formation from the pure elements, eV per formula unit: 1.86
Density of states at the Fermi level, states/eV per cell: 6.6
Space group: R-3m
E_tot, eV per atom: -7.568
ΔE to the lowest computed polymorph, meV/atom: 404
Calculated volume, Å³ per atom: 17.11
Spin magnetization, μB per atom: 0.0001

ZrTc2Ag2 after structural relaxation, computed with PBE.

```
ZrTc2Ag2
1.0
-0.190 3.546 -0.773
-2.844 0.335 2.238
2.764 3.312 5.968
Zr Tc Ag
1 2 2
Direct
0.000 0.000 0.000 Zr
0.750 0.250 0.500 Tc
0.250 0.750 0.500 Tc
0.402 0.402 0.195 Ag
0.598 0.598 0.805 Ag
```

Calculated values
Energy of formation from the pure elements, eV per formula unit: 2.30
Density of states at the Fermi level, states/eV per cell: 3.6
Space group: I4/mmm
E_tot, eV per atom: -6.536
ΔE to the lowest computed polymorph, meV/atom: 85
Calculated volume, Å³ per atom: 18.23
Spin magnetization, μB per atom: 0.0000

ZrTcAg2 after structural relaxation, computed with PBE.

```
ZrTcAg2
1.0
-2.160 -0.428 -4.127
-4.285 -1.864 -0.215
-3.680 2.707 -1.006
Ag Tc Zr
2 1 1
Direct
0.000 0.000 0.000 Ag
0.250 0.250 0.250 Ag
0.500 0.500 0.500 Tc
0.750 0.750 0.750 Zr
```

Calculated values
Energy of formation from the pure elements, eV per formula unit: 1.23
Density of states at the Fermi level, states/eV per cell: 5.7
Space group: F-43m
E_tot, eV per atom: -5.848
ΔE to the lowest computed polymorph, meV/atom: 204
Calculated volume, Å³ per atom: 18.09
Spin magnetization, μB per atom: 0.2169